Record 1
BaTl4Bi | PBE | optimized geometry

a = 9.3368 Å, b = 9.3368 Å, c = 9.3368 Å
α = 90.00°, β = 90.00°, γ = 90.00°
Space group F-43m (No. 216)
One atom of each set of equivalent atoms:
Ba (0.0000, 0.0000, 0.0000) (multiplicity 4)
Tl (0.1243, 0.1243, 0.6243) (multiplicity 16)
Bi (0.2500, 0.2500, 0.2500) (multiplicity 4)

Output
Energy of formation, eV per formula unit: -0.96
Excess energy over the best structure of this formula in the dataset, kJ/mol of formula units: 39

Record 2
NaCa2Pb9 | PBE | optimized geometry

a = 4.9244 Å, b = 4.9244 Å, c = 14.9436 Å
α = 90.00°, β = 90.00°, γ = 90.00°
Space group P4/mmm (No. 123)
One atom of each set of equivalent atoms:
Na (0.0000, 0.0000, 0.0000) (multiplicity 1)
Ca (0.0000, 0.0000, 0.3382) (multiplicity 2)
Pb (0.0000, 0.5000, 0.1657) (multiplicity 4)
Pb (0.0000, 0.5000, 0.5000) (multiplicity 2)
Pb (0.5000, 0.5000, 0.0000) (multiplicity 1)
Pb (0.5000, 0.5000, 0.3318) (multiplicity 2)

Output
Energy of formation, eV per formula unit: -2.97

Record 3
EuDyPt2 | PBE | optimized geometry

a = 7.0648 Å, b = 7.0648 Å, c = 7.0648 Å
α = 90.00°, β = 90.00°, γ = 90.00°
Space group Fm-3m (No. 225)
One atom of each set of equivalent atoms:
Eu (0.0000, 0.0000, 0.0000) (multiplicity 4)
Dy (0.0000, 0.0000, 0.5000) (multiplicity 4)
Pt (0.2500, 0.2500, 0.2500) (multiplicity 8)

Output
Energy of formation, eV per formula unit: -4.18
Excess energy over the best structure of this formula in the dataset, kJ/mol of formula units: 20

Record 4
DyGa3I6 | PBE | optimized geometry

a = 7.8341 Å, b = 8.6637 Å, c = 14.0884 Å
α = 90.00°, β = 123.21°, γ = 90.00°
Space group P2_1/c (No. 14)
One atom of each set of equivalent atoms:
Dy (0.0000, 0.0000, 0.0000) (multiplicity 2)
Ga (0.3254, 0.1378, 0.7576) (multiplicity 4)
Ga (0.5000, 0.0000, 0.5000) (multiplicity 2)
I (0.0908, 0.0478, 0.2380) (multiplicity 4)
I (0.2391, 0.6985, 0.0744) (multiplicity 4)
I (0.3858, 0.1762, 0.0714) (multiplicity 4)

Output
E_form (uncorrected), eV/f.u.: -7.42